1.
## RbTlSe (PBE)

Data for RbTlSe after structural relaxation.

The structure belongs to space group C2/m (No. 12); the cell edges are 14.001, 4.398 and 8.552 Å and the angles 90.00°, 106.26° and 90.00°. The distinct sites, in fractional coordinates, are Rb at (0.000, 0.000, 0.000), Rb at (0.000, 0.000, 0.500), Tl at (0.231, 0.500, 0.189) and Se at (0.123, 0.500, 0.808).

The value obtained for the energy above the most stable polymorph in this dataset is 16 meV per atom. The value obtained for the uncorrected formation energy is -737 meV/atom. As for the theoretical density: 4.846 g/cm3.

2.
## RbTlSe (PBE)

Data for RbTlSe after structural relaxation.

The structure belongs to space group Pnma (No. 62); the cell edges are 12.698, 4.685 and 8.787 Å and the angles 90.00°, 90.00° and 90.00°. The distinct sites, in fractional coordinates, are Rb at (0.198, 0.250, 0.045), Tl at (0.001, 0.250, 0.691) and Se at (0.135, 0.250, 0.417).

The value obtained for the energy above the most stable polymorph in this dataset is 25 meV per atom. The value obtained for the uncorrected formation energy is -728 meV/atom. As for the theoretical density: 4.686 g/cm3.

3.
## RbTlSe (PBE)

Data for RbTlSe after structural relaxation.

The structure belongs to space group P-1 (No. 2); the cell edges are 4.531, 6.921 and 8.213 Å and the angles 67.40°, 74.18° and 71.11°. The distinct sites, in fractional coordinates, are Rb at (0.072, 0.215, 0.144), Tl at (0.333, 0.249, 0.580) and Se at (0.332, 0.613, 0.225).

The value obtained for the energy above the most stable polymorph in this dataset is 7 meV per atom. The value obtained for the uncorrected formation energy is -746 meV/atom. As for the theoretical density: 5.525 g/cm3.

4.
## Rb2Tl2Se (PBE)

Data for Rb2Tl2Se after structural relaxation.

The structure belongs to space group P4/mbm (No. 127); the cell edges are 8.196, 8.196 and 5.968 Å and the angles 90.00°, 90.00° and 90.00°. The distinct sites, in fractional coordinates, are Rb at (0.188, 0.312, 0.000), Tl at (0.132, 0.632, 0.500) and Se at (0.000, 0.000, 0.500).

The value obtained for the energy above the most stable polymorph in this dataset is 0 meV per atom. The value obtained for the uncorrected formation energy is -289 meV/atom. As for the theoretical density: 5.457 g/cm3.

Which value of theoretical density does entry 3 give? 5.525 g/cm3